No. 1
DFT (GGA-PBE) results for crystalline TaTcNiSn at its relaxed geometry.

Output
Its relative energy among the computed polymorphs is 0.332 eV per atom. Its space group is F-43m, No. 216. The magnetic moment is 1.1 μB/cell. As for the crystal system: cubic.

Unit cell a=4.5189 b=4.5189 c=4.5189 alpha=60.00 beta=60.00 gamma=60.00
Last column: nearest neighbours and their distance in Å.
Atoms (fractional coordinates):
Ni (0.7500, 0.7500, 0.7500)  4 Tc 2.77, 4 Sn 2.77
Sn (0.0000, 0.0000, 0.0000)  4 Ni 2.77, 4 Ta 2.77
Ta (0.2500, 0.2500, 0.2500)  4 Sn 2.77, 4 Tc 2.77
Tc (0.5000, 0.5000, 0.5000)  4 Ni 2.77, 4 Ta 2.77

***

No. 2
DFT (GGA-PBE) results for crystalline Cu5Ag4 at its relaxed geometry.

Output
Its relative energy among the computed polymorphs is 0.059 eV per atom. Its space group is P3m1, No. 156. As for the crystal system: trigonal.

Unit cell a=2.7793 b=2.7793 c=19.7989 alpha=90.00 beta=90.00 gamma=120.00
Last column: nearest neighbours and their distance in Å.
Atoms (fractional coordinates):
Ag (0.3333, 0.6667, 0.0938)  3 Cu 2.75, 9 Ag 2.78-2.97
Ag (0.0000, 0.0000, 0.2204)  12 Ag 2.78-2.98
Ag (0.6667, 0.3333, 0.3471)  3 Cu 2.75, 9 Ag 2.78-2.98
Ag (0.6667, 0.3333, 0.6717)  6 Cu 2.75-2.76, 6 Ag 2.78
Cu (0.3333, 0.6667, 0.4602)  9 Cu 2.52-2.78, 3 Ag 2.75
Cu (0.0000, 0.0000, 0.5585)  9 Cu 2.52-2.78, 3 Ag 2.76
Cu (0.3333, 0.6667, 0.7843)  9 Cu 2.52-2.78, 3 Ag 2.75
Cu (0.0000, 0.0000, 0.8828)  12 Cu 2.52-2.78
Cu (0.6667, 0.3333, 0.9812)  9 Cu 2.53-2.78, 3 Ag 2.75

***

No. 3
DFT (GGA-PBE) results for crystalline FeHg2B at its relaxed geometry.

Output
The value obtained for the raw total energy is -10.62 eV per formula unit. Its space group is F-43m, No. 216. The magnetic moment is 2.5 μB/cell. As for the crystal system: cubic.

Unit cell a=4.5397 b=4.5397 c=4.5397 alpha=60.00 beta=60.00 gamma=60.00
Last column: nearest neighbours and their distance in Å.
Atoms (fractional coordinates):
B (0.5000, 0.5000, 0.5000)  4 Fe 2.78, 4 Hg 2.78
Fe (0.2500, 0.2500, 0.2500)  4 B 2.78, 4 Hg 2.78
Hg (0.0000, 0.0000, 0.0000)  4 Hg 2.78, 4 Fe 2.78
Hg (0.7500, 0.7500, 0.7500)  4 Hg 2.78, 4 B 2.78